A plane-wave DFT calculation with PBE-GGA was carried out for a relaxed K2SrTe crystal.

Unit cell a=6.442 b=5.126 c=8.049 alpha=90.00 beta=113.36 gamma=90.00
Space group P2/m (No. 10)
One atom of each set of equivalent atoms:
K  0.156  0.000  0.309 (multiplicity 2)
Sr  0.500  0.500  0.000 (multiplicity 1)
Te  0.000  0.500  0.000 (multiplicity 1)

formation energy without anion corrections	-0.5970	eV per atom
total magnetization	0.005	μB/f.u.
E_tot	-9.4	eV/f.u.

***

A plane-wave DFT calculation with PBE-GGA was carried out for a relaxed Ba2SrScV crystal.

Unit cell a=6.638 b=6.638 c=4.739 alpha=90.00 beta=90.00 gamma=90.00
Space group P4/mmm (No. 123)
One atom of each set of equivalent atoms:
Ba  0.000  0.500  0.000 (multiplicity 2)
Sr  0.000  0.000  0.500 (multiplicity 1)
Sc  0.500  0.500  0.000 (multiplicity 1)
V  0.500  0.500  0.500 (multiplicity 1)

total magnetization	0.007	μB/f.u.
E_tot	-16.6	eV/f.u.

***

A plane-wave DFT calculation with PBE-GGA was carried out for a relaxed Ti3FeCu2S8 crystal.

Unit cell a=6.9965 b=6.9965 c=17.1514 alpha=90.00 beta=90.00 gamma=120.00
Space group R-3m (No. 166, hexagonal axes)
One atom of each set of equivalent atoms:
Ti  0.0000  0.5000  0.0000 (multiplicity 9)
Fe  0.0000  0.0000  0.5000 (multiplicity 3)
Cu  0.0000  0.0000  0.1237 (multiplicity 6)
S  0.0000  0.0000  0.2545 (multiplicity 6)
S  0.0220  0.5110  0.2480 (multiplicity 18)

formation energy without anion corrections	-0.9384	eV per atom
total magnetization	0.274	μB/f.u.
E_tot	-86.5	eV/f.u.

***

A plane-wave DFT calculation with PBE-GGA was carried out for a relaxed Pm4Mg2Co crystal.

Unit cell a=5.212 b=5.212 c=16.420 alpha=90.00 beta=90.00 gamma=90.00
Space group I4/mmm (No. 139)
One atom of each set of equivalent atoms:
Pm  0.000  0.000  0.170 (multiplicity 4)
Pm  0.000  0.500  0.000 (multiplicity 4)
Mg  0.000  0.000  0.367 (multiplicity 4)
Co  0.000  0.000  0.000 (multiplicity 2)

total magnetization	0.000	μB/f.u.
E_tot	-28.6	eV/f.u.

***

Among the records above, which one has the highest E_tot?
K2SrTe